# 1
{"formula": "YNbAlCo", "functional": "PBE", "state": "optimized geometry", "polymorph_energy_mev_per_atom": 0, "crystal_system": "cubic", "cell": [[0.0000, 3.2802, 3.2802], [3.2802, 0.0000, 3.2802], [3.2802, 3.2802, 0.0000]], "species": ["Al", "Co", "Nb", "Y"], "frac_coords": [[0.0000, 0.0000, 0.0000], [0.7500, 0.7500, 0.7500], [0.2500, 0.2500, 0.2500], [0.5000, 0.5000, 0.5000]]}

---

# 2
{"formula": "BaOs4Pt2", "functional": "PBE", "state": "optimized geometry", "total_energy_ev_per_atom": -7.827, "crystal_system": "monoclinic", "cell": [[3.3700, -1.9372, 0.0000], [3.3700, 1.9372, 0.0000], [-0.0274, 0.0000, 11.4016]], "species": ["Ba", "Os", "Os", "Os", "Os", "Pt", "Pt"], "frac_coords": [[0.0000, 0.0000, 0.6517], [0.0007, 0.0007, 0.2458], [0.3342, 0.3342, 0.3396], [0.3320, 0.3320, 0.8855], [0.9993, 0.9993, 0.9691], [0.3329, 0.3329, 0.1131], [0.6674, 0.6674, 0.4633]]}

---

# 3
{"formula": "Dy3BC3", "functional": "PBE", "state": "optimized geometry", "total_energy_ev_per_atom": -7.299, "crystal_system": "orthorhombic", "cell": [[2.5654, -2.5894, 0.0000], [2.5654, 2.5894, 0.0000], [0.0000, 0.0000, 15.8836]], "species": ["B", "B", "C", "C", "C", "C", "C", "C", "Dy", "Dy", "Dy", "Dy", "Dy", "Dy"], "frac_coords": [[0.0000, 0.0000, 0.0000], [0.0000, 0.0000, 0.5000], [0.0945, 0.9055, 0.0867], [0.5983, 0.4017, 0.2500], [0.0945, 0.9055, 0.4133], [0.9055, 0.0945, 0.5867], [0.4017, 0.5983, 0.7500], [0.9055, 0.0945, 0.9133], [0.5829, 0.4171, 0.1015], [0.0894, 0.9106, 0.2500], [0.5829, 0.4171, 0.3985], [0.4171, 0.5829, 0.6015], [0.9106, 0.0894, 0.7500], [0.4171, 0.5829, 0.8985]]}

---

# 4
{"formula": "Li3Co", "functional": "PBE", "state": "optimized geometry", "total_energy_ev_per_atom": -2.861, "crystal_system": "tetragonal", "cell": [[-4.0345, -2.1402, -0.6465], [-3.1362, 1.4390, 3.0609], [2.8456, 2.2426, -2.8546]], "species": ["Co", "Li", "Li", "Li"], "frac_coords": [[0.0000, 0.0000, 0.0000], [0.5000, 0.5000, 0.0000], [0.7500, 0.2500, 0.5000], [0.2500, 0.7500, 0.5000]]}

---

# 5
{"formula": "TmZrZnCo2", "functional": "PBE", "state": "optimized geometry", "formation_energy_kj_per_mol_atoms": -31.4, "crystal_system": "orthorhombic", "cell": [[4.9821, 1.0292, 0.3625], [-0.3046, 3.9266, 3.2404], [-1.3743, -4.9034, 0.2828]], "species": ["Co", "Co", "Tm", "Zn", "Zr"], "frac_coords": [[0.7851, 0.5020, 0.2831], [0.2189, 0.5020, 0.7169], [0.7920, 0.7920, 0.0000], [0.4969, 0.9969, 0.5000], [0.2071, 0.2071, 0.0000]]}

---

# 6
{"formula": "KPuNi", "functional": "PBE", "state": "optimized geometry", "total_energy_ev_per_atom": -5.606, "crystal_system": "cubic", "cell": [[0.0000, 3.4732, 3.4732], [3.4732, 0.0000, 3.4732], [3.4732, 3.4732, 0.0000]], "species": ["K", "Ni", "Pu"], "frac_coords": [[0.0000, 0.0000, 0.0000], [0.2500, 0.2500, 0.2500], [0.7500, 0.7500, 0.7500]]}

---

# 7
{"formula": "Y2HoCo2B2As3", "functional": "PBE", "state": "optimized geometry", "total_energy_ev_per_atom": -6.670, "crystal_system": "tetragonal", "cell": [[11.5116, 0.8084, 1.4765], [9.9645, -3.0072, 5.1977], [-10.3556, -0.8974, -5.2256]], "species": ["As", "As", "As", "B", "B", "Co", "Co", "Ho", "Y", "Y"], "frac_coords": [[0.1243, 0.1243, 0.0000], [0.5000, 0.5000, 0.0000], [0.8757, 0.8757, 0.0000], [0.2180, 0.2180, 0.0000], [0.7820, 0.7820, 0.0000], [0.7500, 0.2500, 0.5000], [0.2500, 0.7500, 0.5000], [0.0000, 0.0000, 0.0000], [0.3576, 0.3576, 0.0000], [0.6424, 0.6424, 0.0000]]}

---

# 8
{"formula": "PrSiNi", "functional": "PBE", "state": "optimized geometry", "total_energy_ev_per_atom": -5.972, "crystal_system": "tetragonal", "cell": [[-2.0702, 2.0702, 6.9515], [2.0702, -2.0702, 6.9515], [2.0702, 2.0702, -6.9515]], "species": ["Ni", "Ni", "Pr", "Pr", "Si", "Si"], "frac_coords": [[0.9127, 0.9127, 0.0000], [0.6627, 0.1627, 0.5000], [0.5012, 0.5012, 0.0000], [0.2512, 0.7512, 0.5000], [0.0821, 0.0821, 0.0000], [0.8321, 0.3321, 0.5000]]}